No. 1
Entry from the Alexandria database: a geometry-optimized Mg2PtAu structure (PBEsol).

Crystal system: orthorhombic
Space group: No. 47
E (eV per atom): -4.275
Spin magnetization (μB per formula unit): 0.0
Formation enthalpy at 0 K (meV per atom): -695

a = 3.0527 Å, b = 3.1887 Å, c = 6.7062 Å
α = 90.00°, β = 90.00°, γ = 90.00°
Last column: nearest neighbours and their distance in Å.
Sites, in units of the cell vectors:
Mg: 0.0000 0.0000 0.2379  4 Pt 2.72, 4 Au 2.82
Mg: 0.0000 0.0000 0.7621  4 Pt 2.72, 4 Au 2.82
Pt: 0.5000 0.5000 0.0000  8 Mg 2.72
Au: 0.5000 0.5000 0.5000  8 Mg 2.82, 2 Au 3.05


No. 2
Entry from the Alexandria database: a geometry-optimized Mg2PtAu structure (PBEsol).

Crystal system: tetragonal
Space group: No. 123
E (eV per atom): -4.269
Spin magnetization (μB per formula unit): 0.0
Formation enthalpy at 0 K (meV per atom): -689

a = 4.6457 Å, b = 4.6457 Å, c = 3.0170 Å
α = 90.00°, β = 90.00°, γ = 90.00°
Last column: nearest neighbours and their distance in Å.
Sites, in units of the cell vectors:
Mg: 0.0000 0.5000 0.0000  4 Pt 2.77, 4 Au 2.77, 2 Mg 3.02
Mg: 0.5000 0.0000 0.0000  4 Pt 2.77, 4 Au 2.77, 2 Mg 3.02
Pt: 0.0000 0.0000 0.5000  8 Mg 2.77, 2 Pt 3.02
Au: 0.5000 0.5000 0.5000  8 Mg 2.77, 2 Au 3.02


What did the second record say?
Entry from the Alexandria database: a geometry-optimized Mg2PtAu structure (PBEsol).

Crystal system: tetragonal
Space group: No. 123
E (eV per atom): -4.269
Spin magnetization (μB per formula unit): 0.0
Formation enthalpy at 0 K (meV per atom): -689

a = 4.6457 Å, b = 4.6457 Å, c = 3.0170 Å
α = 90.00°, β = 90.00°, γ = 90.00°
Last column: nearest neighbours and their distance in Å.
Sites, in units of the cell vectors:
Mg: 0.0000 0.5000 0.0000  4 Pt 2.77, 4 Au 2.77, 2 Mg 3.02
Mg: 0.5000 0.0000 0.0000  4 Pt 2.77, 4 Au 2.77, 2 Mg 3.02
Pt: 0.0000 0.0000 0.5000  8 Mg 2.77, 2 Pt 3.02
Au: 0.5000 0.5000 0.5000  8 Mg 2.77, 2 Au 3.02


Question: Which of these has the lowest E?
Answer: number 1